[1]
A plane-wave DFT calculation with PBE was carried out for a relaxed structure of DyHfNb.

Values from the calculation:
- distance to the lowest polymorph of the same formula (eV/f.u.) = 0.00
- space group = I4mm
- calculated formation energy (meV/atom) = 181

abc: 3.661 3.661 10.660
angles: 90.00 90.00 90.00
Sites, in units of the cell vectors:
1 Dy 0.000 0.000 0.000
2 Dy 0.500 0.500 0.500
3 Hf 0.000 0.000 0.298
4 Hf 0.500 0.500 0.798
5 Nb 0.000 0.000 0.691
6 Nb 0.500 0.500 0.191

=====

[2]
A plane-wave DFT calculation with PBE was carried out for a relaxed structure of NdDy14Hf.

Values from the calculation:
- space group = P4/mmm
- calculated formation energy (meV/atom) = 49

abc: 7.049 7.049 9.923
angles: 90.00 90.00 90.00
Sites, in units of the cell vectors:
1 Nd 0.000 0.000 0.000
2 Dy 0.000 0.000 0.500
3 Dy 0.000 0.500 0.000
4 Dy 0.000 0.500 0.500
5 Dy 0.256 0.256 0.245
6 Dy 0.256 0.256 0.755
7 Dy 0.256 0.744 0.245
8 Dy 0.256 0.744 0.755
9 Dy 0.500 0.000 0.000
10 Dy 0.500 0.000 0.500
11 Dy 0.500 0.500 0.500
12 Dy 0.744 0.256 0.245
13 Dy 0.744 0.256 0.755
14 Dy 0.744 0.744 0.245
15 Dy 0.744 0.744 0.755
16 Hf 0.500 0.500 0.000

=====

[3]
A plane-wave DFT calculation with PBE was carried out for a relaxed structure of NdDyHf.

Values from the calculation:
- distance to the lowest polymorph of the same formula (eV/f.u.) = 0.14
- space group = P3m1
- calculated formation energy (meV/atom) = 162

abc: 3.422 3.422 8.526
angles: 90.00 90.00 120.00
Sites, in units of the cell vectors:
1 Nd 0.000 0.000 0.000
2 Dy 0.333 0.667 0.621
3 Hf 0.667 0.333 0.316

=====

[4]
A plane-wave DFT calculation with PBE was carried out for a relaxed structure of Nd2DyHf.

Values from the calculation:
- distance to the lowest polymorph of the same formula (eV/f.u.) = 0.03
- space group = P4/mmm
- calculated formation energy (meV/atom) = 176

abc: 4.966 4.966 4.871
angles: 90.00 90.00 90.00
Sites, in units of the cell vectors:
1 Nd 0.000 0.500 0.000
2 Nd 0.500 0.000 0.000
3 Dy 0.000 0.000 0.500
4 Hf 0.500 0.500 0.500

=====

[5]
A plane-wave DFT calculation with PBE was carried out for a relaxed structure of NdDy2Hf.

Values from the calculation:
- distance to the lowest polymorph of the same formula (eV/f.u.) = 0.00
- space group = R3m
- calculated formation energy (meV/atom) = 119

abc: 3.455 3.455 34.052
angles: 90.00 90.00 120.00
Sites, in units of the cell vectors:
1 Nd 0.000 0.000 0.000
2 Nd 0.333 0.667 0.667
3 Nd 0.667 0.333 0.333
4 Dy 0.000 0.000 0.243
5 Dy 0.000 0.000 0.423
6 Dy 0.333 0.667 0.090
7 Dy 0.333 0.667 0.910
8 Dy 0.667 0.333 0.576
9 Dy 0.667 0.333 0.757
10 Hf 0.000 0.000 0.833
11 Hf 0.333 0.667 0.500
12 Hf 0.667 0.333 0.167

=====

[6]
A plane-wave DFT calculation with PBE was carried out for a relaxed structure of Nd2DyHf.

Values from the calculation:
- distance to the lowest polymorph of the same formula (eV/f.u.) = 0.20
- space group = P4/mmm
- calculated formation energy (meV/atom) = 218

abc: 4.054 4.054 7.360
angles: 90.00 90.00 90.00
Sites, in units of the cell vectors:
1 Nd 0.000 0.000 0.224
2 Nd 0.000 0.000 0.776
3 Dy 0.500 0.500 0.500
4 Hf 0.500 0.500 0.000

=====

[7]
A plane-wave DFT calculation with PBE was carried out for a relaxed structure of NdDy2Hf.

Values from the calculation:
- distance to the lowest polymorph of the same formula (eV/f.u.) = 0.43
- space group = P4/mmm
- calculated formation energy (meV/atom) = 226

abc: 3.988 3.988 7.504
angles: 90.00 90.00 90.00
Sites, in units of the cell vectors:
1 Nd 0.000 0.000 0.000
2 Dy 0.500 0.500 0.285
3 Dy 0.500 0.500 0.715
4 Hf 0.000 0.000 0.500

=====

[8]
A plane-wave DFT calculation with PBE was carried out for a relaxed structure of NdDyHf.

Values from the calculation:
- distance to the lowest polymorph of the same formula (eV/f.u.) = 0.09
- space group = I4mm
- calculated formation energy (meV/atom) = 145

abc: 3.371 3.371 15.283
angles: 90.00 90.00 90.00
Sites, in units of the cell vectors:
1 Nd 0.000 0.000 0.000
2 Nd 0.500 0.500 0.500
3 Dy 0.000 0.000 0.692
4 Dy 0.500 0.500 0.192
5 Hf 0.000 0.000 0.340
6 Hf 0.500 0.500 0.840

=====

[9]
A plane-wave DFT calculation with PBE was carried out for a relaxed structure of NdDy2Hf.

Values from the calculation:
- distance to the lowest polymorph of the same formula (eV/f.u.) = 0.17
- space group = P4/mmm
- calculated formation energy (meV/atom) = 162

abc: 4.868 4.868 4.922
angles: 90.00 90.00 90.00
Sites, in units of the cell vectors:
1 Nd 0.000 0.000 0.000
2 Dy 0.000 0.500 0.500
3 Dy 0.500 0.000 0.500
4 Hf 0.500 0.500 0.000

=====

[10]
A plane-wave DFT calculation with PBE was carried out for a relaxed structure of NdDyHf.

Values from the calculation:
- distance to the lowest polymorph of the same formula (eV/f.u.) = 0.00
- space group = P4/nmm
- calculated formation energy (meV/atom) = 115

abc: 3.764 3.764 12.760
angles: 90.00 90.00 90.00
Sites, in units of the cell vectors:
1 Nd 0.250 0.250 0.098
2 Nd 0.750 0.750 0.902
3 Dy 0.250 0.250 0.702
4 Dy 0.750 0.750 0.298
5 Hf 0.250 0.250 0.449
6 Hf 0.750 0.750 0.551

=====

[11]
A plane-wave DFT calculation with PBE was carried out for a relaxed structure of Nd2DyHf.

Values from the calculation:
- distance to the lowest polymorph of the same formula (eV/f.u.) = 0.00
- space group = R3m
- calculated formation energy (meV/atom) = 168

abc: 3.490 3.490 34.300
angles: 90.00 90.00 120.00
Sites, in units of the cell vectors:
1 Nd 0.000 0.000 0.000
2 Nd 0.000 0.000 0.177
3 Nd 0.333 0.667 0.667
4 Nd 0.333 0.667 0.844
5 Nd 0.667 0.333 0.333
6 Nd 0.667 0.333 0.510
7 Dy 0.000 0.000 0.756
8 Dy 0.333 0.667 0.423
9 Dy 0.667 0.333 0.090
10 Hf 0.000 0.000 0.588
11 Hf 0.333 0.667 0.255
12 Hf 0.667 0.333 0.922

=====

[12]
A plane-wave DFT calculation with PBE was carried out for a relaxed structure of NdDy2Hf.

Values from the calculation:
- distance to the lowest polymorph of the same formula (eV/f.u.) = 1.07
- space group = R-3m
- calculated formation energy (meV/atom) = 385

abc: 3.361 3.361 36.297
angles: 90.00 90.00 120.00
Sites, in units of the cell vectors:
1 Nd 0.000 0.000 0.000
2 Nd 0.333 0.667 0.667
3 Nd 0.667 0.333 0.333
4 Dy 0.000 0.000 0.415
5 Dy 0.000 0.000 0.585
6 Dy 0.333 0.667 0.081
7 Dy 0.333 0.667 0.252
8 Dy 0.667 0.333 0.748
9 Dy 0.667 0.333 0.919
10 Hf 0.000 0.000 0.500
11 Hf 0.333 0.667 0.167
12 Hf 0.667 0.333 0.833

=====

[13]
A plane-wave DFT calculation with PBE was carried out for a relaxed structure of Nd2DyHf.

Values from the calculation:
- distance to the lowest polymorph of the same formula (eV/f.u.) = 0.86
- space group = R-3m
- calculated formation energy (meV/atom) = 382

abc: 3.386 3.386 36.683
angles: 90.00 90.00 120.00
Sites, in units of the cell vectors:
1 Nd 0.000 0.000 0.085
2 Nd 0.000 0.000 0.915
3 Nd 0.333 0.667 0.581
4 Nd 0.333 0.667 0.752
5 Nd 0.667 0.333 0.248
6 Nd 0.667 0.333 0.419
7 Dy 0.000 0.000 0.500
8 Dy 0.333 0.667 0.167
9 Dy 0.667 0.333 0.833
10 Hf 0.000 0.000 0.000
11 Hf 0.333 0.667 0.667
12 Hf 0.667 0.333 0.333

=====

[14]
A plane-wave DFT calculation with PBE was carried out for a relaxed structure of Nd2DyHfP4.

Values from the calculation:
- space group = P2/m
- calculated formation energy (meV/atom) = -1486

abc: 6.917 3.989 6.939
angles: 90.00 109.19 90.00
Sites, in units of the cell vectors:
1 Nd 0.000 0.000 0.000
2 Nd 0.500 0.500 0.000
3 Dy 0.000 0.500 0.500
4 Hf 0.500 0.000 0.500
5 P 0.255 0.000 0.732
6 P 0.267 0.500 0.274
7 P 0.733 0.500 0.726
8 P 0.745 0.000 0.268

=====

| no. | size of the total moment (μB/atom) |
| --- | --- |
| 1 | 0.00 |
| 2 | 0.00 |
| 3 | 0.00 |
| 4 | 0.00 |
| 5 | 0.00 |
| 6 | 0.00 |
| 7 | 0.00 |
| 8 | 0.00 |
| 9 | 0.00 |
| 10 | 0.00 |
| 11 | 0.00 |
| 12 | 0.00 |
| 13 | 0.00 |
| 14 | 0.00 |